Entry 1:
Computed, not measured: crystalline CaZrIn2 at its relaxed geometry at the PBE level of DFT.

Cell: 7.4436 7.4436 7.4436 Å, 90.00 90.00 90.00°
Closest atoms and distances in Å follow each position.
Space group F-43m (No. 216)
One atom of each set of equivalent atoms:
Ca 0.0000 0.0000 0.0000 [4 per cell]  4 Zr 3.22, 4 In 3.22
Zr 0.2500 0.2500 0.2500 [4 per cell]  4 In 3.22, 4 Ca 3.22
In 0.0000 0.0000 0.5000 [4 per cell]  4 In 3.22, 4 Zr 3.22
In 0.2500 0.2500 0.7500 [4 per cell]  4 In 3.22, 4 Ca 3.22

energy of formation = 0.82 eV/f.u.

***

Entry 2:
Computed, not measured: crystalline Ca2GaHg at its relaxed geometry at the PBE level of DFT.

Cell: 7.4819 7.4819 7.4819 Å, 90.00 90.00 90.00°
Closest atoms and distances in Å follow each position.
Space group Fm-3m (No. 225)
One atom of each set of equivalent atoms:
Ca 0.2500 0.2500 0.2500 [8 per cell]  4 Hg 3.24, 4 Ga 3.24
Ga 0.0000 0.0000 0.0000 [4 per cell]  8 Ca 3.24
Hg 0.0000 0.0000 0.5000 [4 per cell]  8 Ca 3.24

energy of formation = -2.00 eV/f.u.

***

Entry 3:
Computed, not measured: crystalline Ba3P3I2 at its relaxed geometry at the PBE level of DFT.

Cell: 17.5560 4.5908 14.3551 Å, 90.00 90.00 90.00°
Closest atoms and distances in Å follow each position.
Space group Pnma (No. 62)
One atom of each set of equivalent atoms:
Ba 0.1292 0.2500 0.1152 [4 per cell]  6 P 3.29-3.57, 2 I 3.62
Ba 0.1448 0.7500 0.4574 [4 per cell]  5 P 3.25-3.55, 2 I 3.57
Ba 0.1596 0.7500 0.7874 [4 per cell]  5 P 3.19-3.41, 2 I 3.53
P 0.2108 0.7500 0.2458 [4 per cell]  1 P 2.17
P 0.2150 0.2500 0.6252 [4 per cell]  2 P 2.15-2.17
P 0.2242 0.7500 0.9948 [4 per cell]  1 P 2.15
I 0.0082 0.2500 0.3664 [4 per cell]  4 Ba 3.57-3.69
I 0.0301 0.2500 0.8864 [4 per cell]  5 Ba 3.53-3.72

uncorrected formation energy = -1.26 eV per atom

***

Entry 4:
Computed, not measured: crystalline Er2ZrZn at its relaxed geometry at the PBE level of DFT.

Cell: 3.4523 3.4523 29.6059 Å, 90.00 90.00 120.00°
Closest atoms and distances in Å follow each position.
Space group R3m (No. 160, hexagonal axes)
One atom of each set of equivalent atoms:
Er 0.0000 0.0000 0.0000 [3 per cell]  3 Zn 3.04, 3 Zr 3.30
Er 0.0000 0.0000 0.1776 [3 per cell]  3 Zn 3.06, 3 Zr 3.30
Zr 0.0000 0.0000 0.7555 [3 per cell]  6 Er 3.30, 6 Zr 3.45
Zn 0.0000 0.0000 0.5892 [3 per cell]  6 Er 3.04-3.06

polymorph energy (0 for the lowest one) = 121 meV/atom
energy of formation = -0.09 eV/f.u.